No. 1
DFT (PBE-GGA) results for AlRe2Os after structural relaxation.

volume = 134.23 Å³/cell
total moment = 0.0 Bohr magnetons per cell
symmetry = No. 122
E_form = 760 meV/atom
total energy = -73.7 eV/cell

Geometry as extended XYZ:
```
8
Lattice="-3.6246 3.6246 2.5543 3.6246 -3.6246 2.5543 3.6246 3.6246 -2.5543" Properties=species:S:1:pos:R:3 pbc="T T T"
Al 0.0000 0.0000 0.0000
Al 0.0000 3.6246 1.2771
Re 1.8123 -1.5841 1.9157
Re 2.0405 1.8123 0.6386
Re 1.8123 5.2086 -0.6386
Re 1.5841 1.8123 3.1929
Os 3.6246 0.0000 1.2771
Os 0.0000 0.0000 2.5543
```



No. 2
DFT (PBE-GGA) results for Ac3La2NdTe6 after structural relaxation.

volume = 425.04 Å³/cell
total moment = 0.0 Bohr magnetons per cell
formation energy from raw total energies = -18.2 eV/f.u.
symmetry = No. 12
total energy = -64.0 eV/cell

Geometry as extended XYZ:
```
12
Lattice="10.1312 -2.3121 0.0000 10.1312 2.3121 0.0000 -2.2116 0.0000 9.0728" Properties=species:S:1:pos:R:3 pbc="T T T"
Ac 0.0000 0.0000 0.0000
Ac 5.2682 0.0000 6.0410
Ac 12.7824 0.0000 3.0318
La 6.3968 0.0000 1.5214
La 11.6539 0.0000 7.5514
Nd -1.1058 0.0000 4.5364
Te 1.9999 0.0000 5.3330
Te 3.2514 0.0000 0.7068
Te 9.5292 0.0000 2.3488
Te 8.5215 0.0000 6.7240
Te 14.7993 0.0000 8.3660
Te 16.0508 0.0000 3.7398
```



No. 3
DFT (PBE-GGA) results for FeSi2Ru after structural relaxation.

volume = 49.74 Å³/cell
total moment = 1.0 Bohr magnetons per cell
formation energy from raw total energies = -1.2 eV/f.u.
symmetry = No. 166
total energy = -29.8 eV/cell

Geometry as extended XYZ:
```
4
Lattice="1.3911 0.8032 7.4203 -1.3911 0.8032 7.4203 0.0000 -1.6063 7.4203" Properties=species:S:1:pos:R:3 pbc="T T T"
Fe 0.0000 0.0000 0.0000
Si 0.0000 0.0000 5.6544
Si 0.0000 0.0000 16.6066
Ru 0.0000 0.0000 11.1305
```



No. 4
DFT (PBE-GGA) results for TlC2 after structural relaxation.

volume = 48.67 Å³/cell
total moment = 0.0 Bohr magnetons per cell
symmetry = No. 187
E_form = 1507 meV/atom
total energy = -16.3 eV/cell

Geometry as extended XYZ:
```
3
Lattice="3.5921 0.0000 0.0000 -1.7961 3.1109 0.0000 0.0000 0.0000 4.3553" Properties=species:S:1:pos:R:3 pbc="T T T"
Tl 0.0000 0.0000 0.0000
C 1.7961 1.0370 1.5407
C 1.7961 1.0370 2.8146
```



No. 5
DFT (PBE-GGA) results for LuV4W after structural relaxation.

volume = 94.51 Å³/cell
total moment = 0.0 Bohr magnetons per cell
symmetry = No. 216
E_form = 190 meV/atom
total energy = -52.8 eV/cell

Geometry as extended XYZ:
```
6
Lattice="0.0000 3.6154 3.6154 3.6154 0.0000 3.6154 3.6154 3.6154 0.0000" Properties=species:S:1:pos:R:3 pbc="T T T"
Lu 0.0000 0.0000 0.0000
V 2.7094 2.7094 2.7094
V 4.5214 4.5214 2.7094
V 4.5214 2.7094 4.5214
V 2.7094 4.5214 4.5214
W 5.4231 5.4231 5.4231
```



No. 6
DFT (PBE-GGA) results for Hf2MgNi after structural relaxation.

volume = 73.36 Å³/cell
total moment = 1.1 Bohr magnetons per cell
symmetry = No. 225
E_form = 56 meV/atom
total energy = -27.1 eV/cell

Geometry as extended XYZ:
```
4
Lattice="0.0000 3.3225 3.3225 3.3225 0.0000 3.3225 3.3225 3.3225 0.0000" Properties=species:S:1:pos:R:3 pbc="T T T"
Hf 1.6613 1.6613 1.6613
Hf 4.9838 4.9838 4.9838
Mg 0.0000 0.0000 0.0000
Ni 3.3225 3.3225 3.3225
```



No. 7
DFT (PBE-GGA) results for Ti2MnHPb after structural relaxation.

volume = 67.59 Å³/cell
total moment = 0.0 Bohr magnetons per cell
symmetry = No. 123
total energy = -32.1 eV/cell

Geometry as extended XYZ:
```
5
Lattice="4.1141 0.0000 0.0000 0.0000 4.1141 0.0000 0.0000 0.0000 3.9932" Properties=species:S:1:pos:R:3 pbc="T T T"
Ti 0.0000 2.0570 0.0000
Ti 2.0570 0.0000 0.0000
Mn 0.0000 0.0000 1.9966
H 0.0000 0.0000 0.0000
Pb 2.0570 2.0570 1.9966
```



No. 8
DFT (PBE-GGA) results for ScCoHg2 after structural relaxation.

volume = 75.21 Å³/cell
total moment = 1.3 Bohr magnetons per cell
symmetry = No. 123
E_form = 25 meV/atom
total energy = -13.9 eV/cell

Geometry as extended XYZ:
```
4
Lattice="4.2003 0.0000 0.0000 0.0000 4.2003 0.0000 0.0000 0.0000 4.2628" Properties=species:S:1:pos:R:3 pbc="T T T"
Sc 0.0000 0.0000 0.0000
Co 2.1002 2.1002 0.0000
Hg 0.0000 2.1002 2.1314
Hg 2.1002 0.0000 2.1314
```



Question: The highest total energy belongs to which entry?
Answer: ScCoHg2



Question: total energy of number 8 (ScCoHg2)?
Answer: -13.9 eV/cell



Question: Number 4 is which compound?
Answer: TlC2